12
Lattice="5.7924 -0.2551 0.0000 -1.7857 8.1049 0.0000 -2.0034 -3.9249 6.8488" Properties=species:S:1:pos:R:3 comment="Dy4AlPd, optimized geometry, DFT PBE-GGA" e_form_mev_per_atom=-369 de_polymorph_mev_per_atom=107 pbc="T T T"
Dy -1.8608 -1.5847 5.8636
Dy 1.9882 2.9530 4.3135
Dy -1.0354 1.7123 5.8636
Dy -0.8776 5.0244 4.3135
Dy 2.8810 -1.0995 2.5353
Dy 3.0388 2.2126 0.9852
Dy 0.0152 0.9719 2.5353
Dy 3.8641 5.5096 0.9852
Al 0.5553 3.9887 1.7137
Al 1.4481 -0.0638 5.1351
Pd -2.3409 4.1162 6.8451
Pd 4.3443 -0.1913 0.0037

---

12
Lattice="7.2929 0.0070 0.0000 -1.8556 8.0159 0.0000 -2.7186 -4.0115 6.7751" Properties=species:S:1:pos:R:3 comment="LaTlCl4, optimized geometry, DFT PBE-GGA" formation_energy_uncorrected_ev_per_atom=-1.872 de_polymorph_mev_per_atom=79 pbc="T T T"
La -2.7510 4.0062 6.6212
La 5.4697 0.0052 0.1539
Tl 0.8954 4.0097 1.8724
Tl 1.8232 0.0017 4.9027
Cl -2.7919 -1.8532 5.9882
Cl 2.6008 3.2071 4.6194
Cl -0.8546 1.8498 5.9882
Cl -0.8100 4.8123 4.6194
Cl 3.5286 -0.8009 2.1557
Cl 3.5732 2.1617 0.7869
Cl 0.1178 0.8044 2.1557
Cl 5.5106 5.8647 0.7869

---

5
Lattice="-1.8428 0.1798 -3.6056 -1.1727 -5.0528 0.3474 -3.4923 0.9365 1.8316" Properties=species:S:1:pos:R:3 comment="RePtC2I, optimized geometry, DFT PBE-GGA" formation_energy_uncorrected_ev_per_atom=3.379 pbc="T T T"
I 0.0000 0.0000 0.0000
Re -0.5863 -2.5264 0.1737
C -1.7462 0.4682 0.9158
C -0.9214 0.0899 -1.8028
Pt -3.2539 -1.9683 -0.7133

---

13
Lattice="5.1467 0.2666 -2.0181 -2.6839 2.2352 4.2933 0.1205 -5.2381 1.7833" Properties=species:S:1:pos:R:3 comment="Be12Pt, optimized geometry, DFT PBE-GGA" e_form_mev_per_atom=-112 pbc="T T T"
Be 3.4321 -3.2395 -0.1530
Be 2.5733 0.1333 -1.0091
Be -1.6703 -1.9567 3.9596
Be 2.4162 0.1326 1.0848
Be 1.8351 -1.7321 -0.0818
Be 1.2916 -1.3682 2.0293
Be -0.8931 -1.0462 2.1171
Be 1.9285 -3.3117 1.5541
Be 0.1671 -2.8689 2.9737
Be 0.0602 -2.6190 0.8917
Be 0.6548 0.5754 2.5044
Be -1.3419 1.1176 2.1467
Pt 0.0000 0.0000 0.0000

---

4
Lattice="-2.4974 -3.5502 -0.5419 1.9860 -2.5307 -2.9640 1.5560 1.8357 3.6528" Properties=species:S:1:pos:R:3 comment="MnCoCu2, optimized geometry, DFT PBE-GGA" e_form_mev_per_atom=126 pbc="T T T"
Co -0.5985 -2.3774 0.6790
Cu 0.0000 0.0000 0.0000
Cu 1.6431 -1.8677 -0.5321
Mn -0.2557 -3.0404 -1.7530

---

4
Lattice="-2.0007 1.7698 1.7878 -2.7962 -0.3059 -2.8265 -2.2315 -5.3362 2.7852" Properties=species:S:1:pos:R:3 comment="ZrCd2Si, optimized geometry, DFT PBE-GGA" formation_energy_uncorrected_ev_per_atom=-0.061 pbc="T T T"
Cd -0.0031 -0.0075 0.0039
Cd -2.9391 -0.5609 0.1554
Si -1.2059 -2.8836 1.5051
Zr -3.9961 -3.0884 1.4746

---

5
Lattice="-1.2665 4.8889 -3.5470 1.5206 -3.2493 -5.0216 -4.8433 -1.5779 -0.4456" Properties=species:S:1:pos:R:3 comment="Ba2TlSnPd, optimized geometry, DFT PBE-GGA" e_form_mev_per_atom=-451 pbc="T T T"
Tl -2.2946 0.0308 -4.5071
Ba 0.7603 -1.6247 -2.5108
Ba -0.6332 2.4445 -1.7735
Pd 0.0000 0.0000 0.0000
Sn -2.4216 -0.7890 -0.2228

---

9
Lattice="-3.7629 1.2110 -0.7827 0.9000 -5.1003 -1.8445 -1.6681 -0.2904 7.5699" Properties=species:S:1:pos:R:3 comment="Zr3Si4Ru2, optimized geometry, DFT PBE-GGA" formation_energy_uncorrected_ev_per_atom=-0.828 pbc="T T T"
Zr -3.2855 -0.7056 4.3296
Zr 0.0000 0.0000 0.0000
Zr -1.2456 -3.4741 0.6130
Si -2.4265 -1.3747 -0.8347
Si -2.1045 -2.8050 5.7773
Si -3.6898 -3.3004 2.2589
Si -0.8412 -0.8793 2.6837
Ru -2.8363 -1.1530 1.4782
Ru -1.6947 -3.0267 3.4644

---

16
Lattice="-2.3163 -6.3480 -0.3651 6.6007 -2.4627 0.9435 -1.0400 -0.0339 7.1872" Properties=species:S:1:pos:R:3 comment="Ag3AsP4, optimized geometry, DFT PBE-GGA" e_form_mev_per_atom=360 de_polymorph_mev_per_atom=130 pbc="T T T"
P -0.2954 -4.5713 -0.0643
P 4.5272 -2.9755 4.3100
P 5.5010 -3.0332 0.7817
P -1.2084 -4.3470 3.4735
P 2.6401 -5.5661 2.1342
P 1.7219 -1.6238 2.1320
P 1.2177 -1.6403 5.6158
P 2.1042 -5.5836 5.8376
As -1.0978 -6.7972 -0.1909
As 3.7076 -5.1950 4.1809
Ag 4.5875 -5.3072 0.6388
Ag -1.9745 -6.6760 3.3517
Ag 1.8765 -7.9271 1.9177
Ag 0.7825 -3.9301 2.0800
Ag 0.3052 -3.9457 5.3781
Ag 1.3137 -7.9454 5.8069

---

12
Lattice="6.3128 -0.0009 0.0081 -3.1556 5.4675 0.0081 -1.0650 -1.8440 11.7020" Properties=species:S:1:pos:R:3 comment="Pr6Dy3Y2Er, optimized geometry, DFT PBE-GGA" e_form_mev_per_atom=10 pbc="T T T"
Pr 3.1436 1.8107 8.7858
Pr 2.1047 3.6443 2.9427
Pr -1.0514 1.8120 2.9324
Pr -0.0027 3.6277 8.7858
Pr -0.0125 -0.0217 8.7756
Pr 2.0949 -0.0051 2.9324
Dy -2.1101 3.6341 5.8591
Dy 4.2023 -0.0115 5.8591
Dy 1.0461 1.8113 5.8591
Y 0.0010 3.6444 0.0081
Y 3.1561 1.8222 0.0081
Er 0.0000 0.0000 0.0000

---

5
Lattice="3.9196 0.0000 0.0000 0.0000 3.9196 0.0000 0.0000 0.0000 4.2802" Properties=species:S:1:pos:R:3 comment="YIrN2F, optimized geometry, DFT PBE-GGA" formation_energy_uncorrected_ev_per_atom=-0.376 de_polymorph_mev_per_atom=57 pbc="T T T"
Y 1.9598 1.9598 2.1401
N 0.0000 1.9598 0.0000
N 1.9598 0.0000 0.0000
Ir 0.0000 0.0000 0.0000
F 0.0000 0.0000 2.1401

---

Number 3 is which compound?
RePtC2I